Entry 1:
## CsRb2PrCl6 (PBE)

Data for a relaxed CsRb2PrCl6 crystal.

Computed properties:
**Total energy**: -3.9876 eV per atom
**Calculated density**: 2.658 Mg/m³

Cell lengths 8.1801, 8.1801, 21.2640 Å; angles 90.00, 90.00, 120.00 degrees
Space group R3 (No. 146, hexagonal axes)
One atom of each set of equivalent atoms:
1 Cs 0.0000 0.0000 0.0000 [3 per cell]
2 Rb 0.0000 0.0000 0.2797 [3 per cell]
3 Rb 0.0000 0.0000 0.7903 [3 per cell]
4 Pr 0.0000 0.0000 0.4890 [3 per cell]
5 Cl 0.0241 0.3949 0.2223 [9 per cell]
6 Cl 0.0719 0.6688 0.0715 [9 per cell]



Entry 2:
## Cs2RbPrCl6 (PBE)

Data for a relaxed Cs2RbPrCl6 crystal.

Computed properties:
**Total energy**: -3.9702 eV per atom
**Calculated density**: 2.846 Mg/m³

Cell lengths 11.8050, 11.8050, 11.8050 Å; angles 90.00, 90.00, 90.00 degrees
Space group Fm-3m (No. 225)
One atom of each set of equivalent atoms:
1 Cs 0.2500 0.2500 0.2500 [8 per cell]
2 Rb 0.0000 0.0000 0.0000 [4 per cell]
3 Pr 0.0000 0.0000 0.5000 [4 per cell]
4 Cl 0.0000 0.0000 0.2666 [24 per cell]